[1]
DFT (PBE-GGA) results for crystalline Sc2FeReH at its relaxed geometry.

## Properties
Its calculated volume is 22.959 Å³ per atom. The value obtained for the total energy is -31.8 eV per formula unit.

Lattice parameters (Å, degrees): 5.127 5.127 4.368 90.00 90.00 90.00
Element x y z (fractional)
1 Sc 0.000 0.500 0.000
2 Sc 0.500 0.000 0.000
3 Fe 0.000 0.000 0.500
4 Re 0.000 0.000 0.000
5 H 0.500 0.500 0.500

***

[2]
DFT (PBE-GGA) results for crystalline FeRe2HSe at its relaxed geometry.

## Properties
Its calculated volume is 13.391 Å³ per atom. The value obtained for the total energy is -33.5 eV per formula unit.

Lattice parameters (Å, degrees): 4.769 4.769 2.944 90.00 90.00 90.00
Element x y z (fractional)
1 Fe 0.000 0.000 0.000
2 Re 0.000 0.500 0.500
3 Re 0.500 0.000 0.500
4 H 0.500 0.500 0.000
5 Se 0.500 0.500 0.500

***

[3]
DFT (PBE-GGA) results for crystalline Ta2FeReH at its relaxed geometry.

## Properties
Its calculated volume is 13.046 Å³ per atom. As for the offset from the most stable computed form: 223 meV per atom. The value obtained for the total energy is -47.7 eV per formula unit.

Lattice parameters (Å, degrees): 4.289 4.289 3.546 90.00 90.00 90.00
Element x y z (fractional)
1 Ta 0.000 0.500 0.000
2 Ta 0.500 0.000 0.000
3 Fe 0.000 0.000 0.500
4 Re 0.500 0.500 0.500
5 H 0.500 0.500 0.000

***

[4]
DFT (PBE-GGA) results for crystalline Ta2FeReH at its relaxed geometry.

## Properties
Its calculated volume is 12.829 Å³ per atom. As for the offset from the most stable computed form: 0 meV per atom. The value obtained for the total energy is -48.9 eV per formula unit.

Lattice parameters (Å, degrees): 4.401 4.401 3.311 90.00 90.00 90.00
Element x y z (fractional)
1 Ta 0.000 0.500 0.000
2 Ta 0.500 0.000 0.000
3 Fe 0.000 0.000 0.500
4 Re 0.500 0.500 0.500
5 H 0.000 0.000 0.000

***

[5]
DFT (PBE-GGA) results for crystalline TaFeReH2 at its relaxed geometry.

## Properties
Its calculated volume is 12.096 Å³ per atom. The value obtained for the total energy is -34.7 eV per formula unit.

Lattice parameters (Å, degrees): 3.594 3.594 4.682 90.00 90.00 90.00
Element x y z (fractional)
1 Ta 0.000 0.000 0.000
2 Fe 0.500 0.500 0.500
3 Re 0.500 0.500 0.000
4 H 0.000 0.500 0.500
5 H 0.500 0.000 0.500

***

[6]
DFT (PBE-GGA) results for crystalline FeRe2TcH at its relaxed geometry.

## Properties
Its calculated volume is 11.523 Å³ per atom. The value obtained for the total energy is -46.4 eV per formula unit.

Lattice parameters (Å, degrees): 3.903 3.903 3.781 90.00 90.00 90.00
Element x y z (fractional)
1 Fe 0.000 0.000 0.000
2 Re 0.000 0.500 0.500
3 Re 0.500 0.000 0.500
4 Tc 0.500 0.500 0.000
5 H 0.000 0.000 0.500

***

[7]
DFT (PBE-GGA) results for crystalline FeReTc2H at its relaxed geometry.

## Properties
Its calculated volume is 11.412 Å³ per atom. As for the offset from the most stable computed form: 0 meV per atom. The value obtained for the total energy is -44.7 eV per formula unit.

Lattice parameters (Å, degrees): 3.893 3.893 3.765 90.00 90.00 90.00
Element x y z (fractional)
1 Fe 0.000 0.000 0.000
2 Re 0.500 0.500 0.000
3 Tc 0.000 0.500 0.500
4 Tc 0.500 0.000 0.500
5 H 0.000 0.000 0.500

***

[8]
DFT (PBE-GGA) results for crystalline FeReTc2H at its relaxed geometry.

## Properties
Its calculated volume is 11.609 Å³ per atom. As for the offset from the most stable computed form: 82 meV per atom. The value obtained for the total energy is -44.3 eV per formula unit.

Lattice parameters (Å, degrees): 3.865 3.865 3.885 90.00 90.00 90.00
Element x y z (fractional)
1 Fe 0.000 0.000 0.000
2 Re 0.500 0.500 0.000
3 Tc 0.000 0.500 0.500
4 Tc 0.500 0.000 0.500
5 H 0.500 0.500 0.500